VASP calculation (GGA-PBEsol) on an optimized crystal structure of ZnIn2CuN.

Values from the calculation:
Uncorrected formation energy ... 0.76 eV per atom

Cell lengths 5.396, 5.396, 3.443 Å; angles 90.00, 90.00, 90.00 degrees
Space group P4/mmm (No. 123)
Symmetry-distinct sites (fractional):
Zn1 0.000 0.000 0.000 x1
In1 0.000 0.500 0.000 x2
Cu1 0.500 0.500 0.500 x1
N1 0.000 0.000 0.500 x1

=====

VASP calculation (GGA-PBEsol) on an optimized crystal structure of CaAl2P.

Values from the calculation:
E_form ... -0.2758 eV/atom

Cell lengths 4.038, 4.038, 4.557 Å; angles 90.00, 90.00, 90.00 degrees
Space group P4/mmm (No. 123)
Symmetry-distinct sites (fractional):
Ca1 0.000 0.000 0.000 x1
Al1 0.000 0.500 0.500 x2
P1 0.500 0.500 0.000 x1

=====

VASP calculation (GGA-PBEsol) on an optimized crystal structure of Cd2TeW.

Values from the calculation:
Uncorrected formation energy ... 0.58 eV per atom

Cell lengths 3.020, 4.908, 5.404 Å; angles 90.00, 90.18, 90.00 degrees
Space group Pm (No. 6)
Symmetry-distinct sites (fractional):
Cd1 0.000 0.000 0.000 x1
Cd2 0.004 0.500 0.723 x1
Te1 0.500 0.500 0.254 x1
W1 0.502 0.000 0.503 x1

=====

VASP calculation (GGA-PBEsol) on an optimized crystal structure of LaPH2.

Values from the calculation:
DFT total energy ... -19.7 eV per formula unit

Cell lengths 5.888, 5.888, 5.888 Å; angles 90.00, 90.00, 90.00 degrees
Space group Fm-3m (No. 225)
Symmetry-distinct sites (fractional):
La1 0.000 0.000 0.000 x4
P1 0.000 0.000 0.500 x4
H1 0.250 0.250 0.250 x8

=====

In Å³/cell, the V values for the records above are, in order, 100.25 74.30 80.11 204.18.